No. 1
Below is an optimized crystal structure of LiMgBr, with properties calculated at the PBE-GGA level.

Cell: 4.9851 4.9851 4.9851 Å, 60.00 60.00 60.00°
Fractional coordinates of all 3 atoms:
Li (0.0000, 0.0000, 0.0000)
Mg (0.7500, 0.7500, 0.7500)
Br (0.2500, 0.2500, 0.2500)

Output
ΔE_f (raw) = -0.33 eV/atom
polymorph energy (0 for the lowest one) = 0.484 eV/atom
space group = F-43m

---

No. 2
Below is an optimized crystal structure of Er2TmCl, with properties calculated at the PBE-GGA level.

Cell: 10.0406 10.0406 10.0406 Å, 20.43 20.43 20.43°
Fractional coordinates of all 4 atoms:
Er (0.2403, 0.2403, 0.2403)
Er (0.7597, 0.7597, 0.7597)
Tm (0.0000, 0.0000, 0.0000)
Cl (0.5000, 0.5000, 0.5000)

Output
ΔE_f (raw) = -0.63 eV/atom
space group = R-3m

---

No. 3
Below is an optimized crystal structure of AlC2, with properties calculated at the PBE-GGA level.

Cell: 6.7802 6.7802 2.5952 Å, 90.00 90.00 155.91°
Fractional coordinates of all 6 atoms:
Al (0.1299, 0.8701, 0.7500)
Al (0.8701, 0.1299, 0.2500)
C (0.2517, 0.7483, 0.2500)
C (0.4689, 0.5311, 0.7500)
C (0.5311, 0.4689, 0.2500)
C (0.7483, 0.2517, 0.7500)

Output
polymorph energy (0 for the lowest one) = 0.874 eV/atom
space group = Cmcm
formation enthalpy at 0 K = 1.1613 eV/atom

---

No. 4
Below is an optimized crystal structure of Ca3Y3AgS8, with properties calculated at the PBE-GGA level.

Cell: 7.9581 7.9581 7.9581 Å, 59.62 59.62 59.62°
Fractional coordinates of all 15 atoms:
Ca (0.0000, 0.5000, 0.5000)
Ca (0.5000, 0.0000, 0.5000)
Ca (0.5000, 0.5000, 0.0000)
Y (0.0000, 0.0000, 0.5000)
Y (0.0000, 0.5000, 0.0000)
Y (0.5000, 0.0000, 0.0000)
Ag (0.5000, 0.5000, 0.5000)
S (0.2376, 0.7519, 0.7519)
S (0.2478, 0.2478, 0.2478)
S (0.2481, 0.2481, 0.7624)
S (0.2481, 0.7624, 0.2481)
S (0.7519, 0.2376, 0.7519)
S (0.7519, 0.7519, 0.2376)
S (0.7522, 0.7522, 0.7522)
S (0.7624, 0.2481, 0.2481)

Output
ΔE_f (raw) = -1.82 eV/atom
space group = R-3m

---

No. 5
Below is an optimized crystal structure of Sc3CoI3, with properties calculated at the PBE-GGA level.

Cell: 8.6050 3.9647 12.2824 Å, 90.00 91.94 90.00°
Fractional coordinates of all 14 atoms:
Sc (0.0813, 0.2500, 0.2810)
Sc (0.1381, 0.2500, 0.8791)
Sc (0.2251, 0.7500, 0.0872)
Sc (0.7749, 0.2500, 0.9128)
Sc (0.8619, 0.7500, 0.1209)
Sc (0.9187, 0.7500, 0.7190)
Co (0.0389, 0.2500, 0.0784)
Co (0.9611, 0.7500, 0.9216)
I (0.1419, 0.2500, 0.6285)
I (0.3276, 0.7500, 0.3352)
I (0.4113, 0.7500, 0.8757)
I (0.5887, 0.2500, 0.1243)
I (0.6724, 0.2500, 0.6648)
I (0.8581, 0.7500, 0.3715)

Output
ΔE_f (raw) = -0.86 eV/atom
space group = P2_1/m

---

No. 6
Below is an optimized crystal structure of Ce2PaRh3, with properties calculated at the PBE-GGA level.

Cell: 14.5124 14.5124 5.2490 Å, 92.73 92.73 151.54°
Fractional coordinates of all 24 atoms:
Ce (0.0444, 0.9556, 0.7500)
Ce (0.1131, 0.8869, 0.2500)
Ce (0.2047, 0.7953, 0.7500)
Ce (0.3696, 0.6304, 0.7500)
Ce (0.6304, 0.3696, 0.2500)
Ce (0.7953, 0.2047, 0.2500)
Ce (0.8869, 0.1131, 0.7500)
Ce (0.9556, 0.0444, 0.2500)
Pa (0.2869, 0.7131, 0.2500)
Pa (0.4535, 0.5465, 0.2500)
Pa (0.5465, 0.4535, 0.7500)
Pa (0.7131, 0.2869, 0.7500)
Rh (0.0164, 0.4319, 0.8062)
Rh (0.1569, 0.4150, 0.2206)
Rh (0.2544, 0.3197, 0.7416)
Rh (0.3197, 0.2544, 0.2416)
Rh (0.4150, 0.1569, 0.7206)
Rh (0.4319, 0.0164, 0.3062)
Rh (0.5681, 0.9836, 0.6938)
Rh (0.5850, 0.8431, 0.2794)
Rh (0.6803, 0.7456, 0.7584)
Rh (0.7456, 0.6803, 0.2584)
Rh (0.8431, 0.5850, 0.7794)
Rh (0.9836, 0.5681, 0.1938)

Output
space group = C2/c
formation enthalpy at 0 K = -0.6792 eV/atom

---

Number 1: total DFT energy (no corrections) -2.056 eV/atom. Number 2: total DFT energy (no corrections) -4.490 eV/atom. Number 3: total DFT energy (no corrections) -6.235 eV/atom. Number 4: total DFT energy (no corrections) -5.902 eV/atom. Number 5: total DFT energy (no corrections) -5.254 eV/atom. Number 6: total DFT energy (no corrections) -7.916 eV/atom.